P | First-principles (PBE-GGA) data for an optimized crystal structure of Sm3Tm7, as listed in the Alexandria database.

a b c (Å): 6.411 10.667 10.667
angles (deg): 120.00 90.00 90.00
Atoms (fractional coordinates):
1 Sm 0.868 0.203 0.407
2 Sm 0.868 0.203 0.797
3 Sm 0.868 0.593 0.797
4 Sm 0.368 0.797 0.593
5 Sm 0.368 0.797 0.203
6 Sm 0.368 0.407 0.203
7 Tm 0.020 0.667 0.333
8 Tm 0.520 0.333 0.667
9 Tm 0.886 0.879 0.757
10 Tm 0.886 0.879 0.121
11 Tm 0.886 0.243 0.121
12 Tm 0.386 0.121 0.243
13 Tm 0.386 0.121 0.879
14 Tm 0.386 0.757 0.879
15 Tm 0.209 0.471 0.943
16 Tm 0.209 0.471 0.529
17 Tm 0.209 0.057 0.529
18 Tm 0.709 0.529 0.057
19 Tm 0.709 0.529 0.471
20 Tm 0.709 0.943 0.471

- space-group type = P6_3mc (186)
- mass density (g/cm³) = 8.59
- V (Å³/atom) = 31.59

Q | First-principles (PBE-GGA) data for an optimized crystal structure of Sm3Tm7, as listed in the Alexandria database.

a b c (Å): 4.982 7.065 9.337
angles (deg): 100.98 105.47 90.00
Atoms (fractional coordinates):
1 Sm 0.000 0.000 0.000
2 Sm 0.801 0.400 0.602
3 Sm 0.199 0.600 0.398
4 Tm 0.000 0.500 0.000
5 Tm 0.800 0.900 0.601
6 Tm 0.200 0.100 0.399
7 Tm 0.599 0.300 0.199
8 Tm 0.401 0.700 0.801
9 Tm 0.600 0.801 0.200
10 Tm 0.400 0.199 0.800

- space-group type = C2/m (12)
- mass density (g/cm³) = 8.74
- V (Å³/atom) = 31.05

Q has the most favorable energy; the next structure is 0.164 eV/atom above.

P | First-principles (PBE-GGA) data for an optimized crystal structure of Sm4Tm, as listed in the Alexandria database.

a b c (Å): 7.822 7.822 7.822
angles (deg): 103.63 103.63 121.91
Atoms (fractional coordinates):
1 Sm 0.700 0.390 0.310
2 Sm 0.081 0.390 0.690
3 Sm 0.140 0.331 0.190
4 Sm 0.140 0.950 0.810
5 Sm 0.669 0.860 0.810
6 Sm 0.050 0.860 0.190
7 Sm 0.610 0.919 0.310
8 Sm 0.610 0.300 0.690
9 Tm 0.500 0.500 0.000
10 Tm 0.250 0.750 0.500

- space-group type = I4_1/amd (141)
- mass density (g/cm³) = 7.20
- V (Å³/atom) = 35.52

Q | First-principles (PBE-GGA) data for an optimized crystal structure of Sm4Tm, as listed in the Alexandria database.

a b c (Å): 5.755 5.755 5.755
angles (deg): 90.00 90.00 90.00
Atoms (fractional coordinates):
1 Tm 0.500 0.500 0.500
2 Sm 0.000 0.000 0.000
3 Sm 0.500 0.000 0.500
4 Sm 0.000 0.500 0.500
5 Sm 0.500 0.500 0.000

- space-group type = Pm-3m (221)
- mass density (g/cm³) = 6.71
- V (Å³/atom) = 38.13

R | First-principles (PBE-GGA) data for an optimized crystal structure of Sm4Tm, as listed in the Alexandria database.

a b c (Å): 3.600 3.600 14.789
angles (deg): 83.09 83.09 60.01
Atoms (fractional coordinates):
1 Sm 0.201 0.201 0.399
2 Sm 0.799 0.799 0.601
3 Sm 0.601 0.601 0.196
4 Sm 0.399 0.399 0.804
5 Tm 0.000 0.000 0.000

- space-group type = C2/m (12)
- mass density (g/cm³) = 7.78
- V (Å³/atom) = 32.89

R has the most favorable energy; the next structure is 0.372 eV/atom above.

P | First-principles (PBE-GGA) data for an optimized crystal structure of SmTm2, as listed in the Alexandria database.

a b c (Å): 3.562 3.562 8.758
angles (deg): 78.22 90.00 60.00
Atoms (fractional coordinates):
1 Sm 0.505 0.001 0.494
2 Tm 0.284 0.443 0.831
3 Tm 0.726 0.559 0.157

- space-group type = R-3m (166)
- mass density (g/cm³) = 8.67
- V (Å³/atom) = 31.17

Q | First-principles (PBE-GGA) data for an optimized crystal structure of SmTm2, as listed in the Alexandria database.

a b c (Å): 6.244 6.675 6.245
angles (deg): 62.10 60.01 62.12
Atoms (fractional coordinates):
1 Sm 0.085 0.750 0.250
2 Sm 0.915 0.250 0.750
3 Tm 0.748 0.749 0.919
4 Tm 0.416 0.751 0.581
5 Tm 0.584 0.249 0.419
6 Tm 0.252 0.251 0.081

- space-group type = C2/c (15)
- mass density (g/cm³) = 8.55
- V (Å³/atom) = 31.61

P has the most favorable energy; the next structure is 0.012 eV/atom above.

P | First-principles (PBE-GGA) data for an optimized crystal structure of SmTm2, as listed in the Alexandria database.

a b c (Å): 6.597 6.597 6.597
angles (deg): 60.00 60.00 60.00
Each line ends with the local moment (μB).
Atoms (fractional coordinates):
1 Tm 0.125 0.625 0.625  0.48
2 Tm 0.625 0.125 0.625  0.48
3 Tm 0.625 0.625 0.625  0.48
4 Tm 0.625 0.625 0.125  0.48
5 Sm 0.000 0.000 0.000  0.49
6 Sm 0.250 0.250 0.250  0.49

- space-group type = Fd-3m (227)
- mass density (g/cm³) = 7.99
- V (Å³/atom) = 33.83

Q | First-principles (PBE-GGA) data for an optimized crystal structure of SmTm2, as listed in the Alexandria database.

a b c (Å): 3.531 3.531 7.922
angles (deg): 102.88 102.88 90.00
Atoms (fractional coordinates):
1 Tm 0.668 0.668 0.337
2 Tm 0.332 0.332 0.663
3 Sm 0.000 0.000 0.000

- space-group type = I4/mmm (139)
- mass density (g/cm³) = 8.65
- V (Å³/atom) = 31.25

Q has the most favorable energy; the next structure is 0.265 eV/atom above.